This record from the Alexandria database describes an optimized crystal structure of LaCd2SbPt2. The functional is PBE.

Values from the calculation:
uncorrected energy	-4.224	eV per atom
uncorrected formation energy	-397	meV per atom
crystal system	tetragonal

Lattice parameters (Å, degrees): 5.3554 5.3554 6.6896 113.60 113.60 90.00
Closest atoms and distances in Å follow each position.
Positions (direct):
Pt 0.2413 0.2413 0.4826  1 Sb 2.66, 4 Cd 2.68, 1 La 2.85
La 0.5000 0.5000 0.0000  2 Pt 2.85
Pt 0.7587 0.7587 0.5174  1 Sb 2.66, 4 Cd 2.68, 1 La 2.85
Sb 0.0000 0.0000 0.0000  2 Pt 2.66
Cd 0.2500 0.7500 0.5000  4 Pt 2.68
Cd 0.7500 0.2500 0.5000  4 Pt 2.68